Computed, not measured: a relaxed YAlZnGe2 crystal at the PBE level of DFT.

space group	C2/m (12)
calculated total energy	-4.41	eV/atom
crystal system	monoclinic
size of the total moment	0.00	μB/atom

Unit cell a=7.4842 b=7.4842 c=8.1990 alpha=102.00 beta=102.00 gamma=31.67
Atoms (fractional coordinates):
Y: 0.2150 0.2150 0.1865
Y: 0.7850 0.7850 0.8135
Al: 0.4391 0.4391 0.3391
Al: 0.5609 0.5609 0.6609
Zn: 0.1778 0.1778 0.5401
Zn: 0.8222 0.8222 0.4599
Ge: 0.1344 0.1344 0.8276
Ge: 0.3818 0.3818 0.6426
Ge: 0.6182 0.6182 0.3574
Ge: 0.8656 0.8656 0.1724


Computed, not measured: a relaxed Yb2AlGe3 crystal at the PBE level of DFT.

space group	Pnma (62)
calculated total energy	-4.01	eV/atom
crystal system	orthorhombic
size of the total moment	0.07	μB/atom

Unit cell a=6.8448 b=4.2160 c=18.1898 alpha=90.00 beta=90.00 gamma=90.00
Atoms (fractional coordinates):
Yb: 0.1739 0.2500 0.0819
Yb: 0.1860 0.2500 0.2978
Yb: 0.3140 0.7500 0.7978
Yb: 0.3261 0.7500 0.5819
Yb: 0.6739 0.2500 0.4181
Yb: 0.6860 0.2500 0.2022
Yb: 0.8140 0.7500 0.7022
Yb: 0.8261 0.7500 0.9181
Al: 0.0425 0.7500 0.4385
Al: 0.4575 0.2500 0.9385
Al: 0.5425 0.7500 0.0615
Al: 0.9575 0.2500 0.5615
Ge: 0.0016 0.2500 0.8186
Ge: 0.1305 0.2500 0.6879
Ge: 0.2472 0.2500 0.4645
Ge: 0.2528 0.7500 0.9645
Ge: 0.3695 0.7500 0.1879
Ge: 0.4984 0.7500 0.3186
Ge: 0.5016 0.2500 0.6814
Ge: 0.6305 0.2500 0.8121
Ge: 0.7472 0.2500 0.0355
Ge: 0.7528 0.7500 0.5355
Ge: 0.8695 0.7500 0.3121
Ge: 0.9984 0.7500 0.1814


Computed, not measured: a relaxed Yb7Al5Ge8 crystal at the PBE level of DFT.

space group	C2/m (12)
calculated total energy	-3.91	eV/atom
crystal system	monoclinic
size of the total moment	0.07	μB/atom

Unit cell a=8.2475 b=8.2475 c=12.6314 alpha=95.48 beta=95.48 gamma=30.36
Atoms (fractional coordinates):
Yb: 0.0000 0.0000 0.0000
Yb: 0.0183 0.0183 0.2978
Yb: 0.1592 0.1592 0.5422
Yb: 0.1890 0.1890 0.8606
Yb: 0.8110 0.8110 0.1394
Yb: 0.8408 0.8408 0.4578
Yb: 0.9817 0.9817 0.7022
Al: 0.2237 0.2237 0.3058
Al: 0.3902 0.3902 0.8324
Al: 0.5000 0.5000 0.5000
Al: 0.6098 0.6098 0.1676
Al: 0.7763 0.7763 0.6942
Ge: 0.1767 0.1767 0.1045
Ge: 0.3491 0.3491 0.6204
Ge: 0.3875 0.3875 0.3171
Ge: 0.4456 0.4456 0.1359
Ge: 0.5544 0.5544 0.8641
Ge: 0.6125 0.6125 0.6829
Ge: 0.6509 0.6509 0.3796
Ge: 0.8233 0.8233 0.8955


Computed, not measured: a relaxed AlZnGe2 crystal at the PBE level of DFT.

space group	R-3m (166)
calculated total energy	-3.20	eV/atom
crystal system	trigonal
size of the total moment	0.00	μB/atom

Unit cell a=7.9355 b=7.9355 c=7.9355 alpha=28.10 beta=28.10 gamma=28.10
Atoms (fractional coordinates):
Al: 0.0000 0.0000 0.0000
Zn: 0.5000 0.5000 0.5000
Ge: 0.3918 0.3918 0.3918
Ge: 0.6082 0.6082 0.6082


Computed, not measured: a relaxed AlZn2Ge crystal at the PBE level of DFT.

space group	P4/mmm (123)
calculated total energy	-2.60	eV/atom
crystal system	tetragonal
size of the total moment	0.00	μB/atom

Unit cell a=4.0350 b=4.0350 c=4.1035 alpha=90.00 beta=90.00 gamma=90.00
Atoms (fractional coordinates):
Al: 0.0000 0.0000 0.0000
Zn: 0.0000 0.5000 0.5000
Zn: 0.5000 0.0000 0.5000
Ge: 0.5000 0.5000 0.0000


Computed, not measured: a relaxed AlZn2Ge crystal at the PBE level of DFT.

space group	Fm-3m (225)
calculated total energy	-2.53	eV/atom
crystal system	cubic
size of the total moment	0.00	μB/atom

Unit cell a=4.6082 b=4.6082 c=4.6082 alpha=60.00 beta=60.00 gamma=60.00
Atoms (fractional coordinates):
Al: 0.0000 0.0000 0.0000
Zn: 0.2500 0.2500 0.2500
Zn: 0.7500 0.7500 0.7500
Ge: 0.5000 0.5000 0.5000


Computed, not measured: a relaxed AlZn2Ge2 crystal at the PBE level of DFT.

space group	P4/mbm (127)
calculated total energy	-2.87	eV/atom
crystal system	tetragonal
size of the total moment	0.00	μB/atom

Unit cell a=7.2323 b=7.2323 c=3.4193 alpha=90.00 beta=90.00 gamma=90.00
Atoms (fractional coordinates):
Al: 0.0000 0.0000 0.0000
Al: 0.5000 0.5000 0.0000
Zn: 0.1253 0.3747 0.0000
Zn: 0.3747 0.8747 0.0000
Zn: 0.6253 0.1253 0.0000
Zn: 0.8747 0.6253 0.0000
Ge: 0.1789 0.6789 0.5000
Ge: 0.3211 0.1789 0.5000
Ge: 0.6789 0.8211 0.5000
Ge: 0.8211 0.3211 0.5000


Computed, not measured: a relaxed AlZn2Ge crystal at the PBE level of DFT.

space group	R3m (160)
calculated total energy	-2.55	eV/atom
crystal system	trigonal
size of the total moment	0.00	μB/atom

Unit cell a=5.7305 b=5.7305 c=5.7305 alpha=41.34 beta=41.34 gamma=41.34
Atoms (fractional coordinates):
Al: 0.0000 0.0000 0.0000
Zn: 0.4133 0.4133 0.4133
Zn: 0.5835 0.5835 0.5835
Ge: 0.8268 0.8268 0.8268


Computed, not measured: a relaxed AlZnGe2 crystal at the PBE level of DFT.

space group	Fm-3m (225)
calculated total energy	-3.34	eV/atom
crystal system	cubic
size of the total moment	0.00	μB/atom

Unit cell a=4.6625 b=4.6625 c=4.6625 alpha=60.00 beta=60.00 gamma=60.00
Atoms (fractional coordinates):
Al: 0.0000 0.0000 0.0000
Zn: 0.5000 0.5000 0.5000
Ge: 0.2500 0.2500 0.2500
Ge: 0.7500 0.7500 0.7500


Computed, not measured: a relaxed AlZnGe3 crystal at the PBE level of DFT.

space group	Pm-3m (221)
calculated total energy	-3.13	eV/atom
crystal system	cubic
size of the total moment	0.00	μB/atom

Unit cell a=4.8874 b=4.8874 c=4.8874 alpha=90.00 beta=90.00 gamma=90.00
Atoms (fractional coordinates):
Al: 0.0000 0.0000 0.0000
Zn: 0.5000 0.5000 0.5000
Ge: 0.0000 0.0000 0.5000
Ge: 0.0000 0.5000 0.0000
Ge: 0.5000 0.0000 0.0000


Computed, not measured: a relaxed AlZnGe2 crystal at the PBE level of DFT.

space group	P4/mmm (123)
calculated total energy	-3.36	eV/atom
crystal system	tetragonal
size of the total moment	0.00	μB/atom

Unit cell a=4.1113 b=4.1113 c=4.2280 alpha=90.00 beta=90.00 gamma=90.00
Atoms (fractional coordinates):
Al: 0.0000 0.0000 0.0000
Zn: 0.5000 0.5000 0.0000
Ge: 0.0000 0.5000 0.5000
Ge: 0.5000 0.0000 0.5000


Computed, not measured: a relaxed AlZnGe2 crystal at the PBE level of DFT.

space group	P4/mmm (123)
calculated total energy	-3.35	eV/atom
crystal system	tetragonal
size of the total moment	0.00	μB/atom

Unit cell a=3.2947 b=3.2947 c=6.5645 alpha=90.00 beta=90.00 gamma=90.00
Atoms (fractional coordinates):
Al: 0.0000 0.0000 0.0000
Zn: 0.0000 0.0000 0.5000
Ge: 0.5000 0.5000 0.2500
Ge: 0.5000 0.5000 0.7500